No. 1
DFT (PBE) results for a geometry-optimized Ti2InNiRu structure.

Structure (CIF):
```
data_Ti2InNiRu
_chemical_formula_sum 'Ti2 In1 Ni1 Ru1'
_space_group_name_H-M_alt 'P 1'
_space_group_IT_number 1
_space_group_name_Hall 'P 1'
_cell_length_a 4.604
_cell_length_b 4.720
_cell_length_c 4.604
_cell_angle_alpha 90.00
_cell_angle_beta 90.00
_cell_angle_gamma 90.00
loop_
_atom_site_label
_atom_site_type_symbol
_atom_site_fract_x
_atom_site_fract_y
_atom_site_fract_z
Ti1 Ti 0.000 0.000 0.500
Ti2 Ti 0.500 0.000 0.000
Ni1 Ni 0.000 0.500 0.000
Ru1 Ru 0.000 0.000 0.000
In1 In 0.500 0.500 0.500
```

***

No. 2
DFT (PBE) results for a geometry-optimized Tl2InNiRu structure.

Structure (CIF):
```
data_Tl2InNiRu
_chemical_formula_sum 'Tl2 In1 Ni1 Ru1'
_space_group_name_H-M_alt 'P 1'
_space_group_IT_number 1
_space_group_name_Hall 'P 1'
_cell_length_a 5.634
_cell_length_b 5.072
_cell_length_c 5.634
_cell_angle_alpha 90.00
_cell_angle_beta 90.00
_cell_angle_gamma 90.00
loop_
_atom_site_label
_atom_site_type_symbol
_atom_site_fract_x
_atom_site_fract_y
_atom_site_fract_z
Ni1 Ni 0.500 0.500 0.500
Tl1 Tl 0.000 0.000 0.500
In1 In 0.000 0.000 0.000
Tl2 Tl 0.500 0.000 0.000
Ru1 Ru 0.000 0.500 0.000
```

***

No. 3
DFT (PBE) results for a geometry-optimized UInNiRu structure.

Structure (CIF):
```
data_UInNiRu
_chemical_formula_sum 'U1 In1 Ni1 Ru1'
_space_group_name_H-M_alt 'P 1'
_space_group_IT_number 1
_space_group_name_Hall 'P 1'
_cell_length_a 4.663
_cell_length_b 4.663
_cell_length_c 4.663
_cell_angle_alpha 60.00
_cell_angle_beta 60.00
_cell_angle_gamma 60.00
loop_
_atom_site_label
_atom_site_type_symbol
_atom_site_fract_x
_atom_site_fract_y
_atom_site_fract_z
Ni1 Ni 0.500 0.500 0.500
Ru1 Ru 0.000 0.000 0.000
In1 In 0.250 0.250 0.250
U1 U 0.750 0.750 0.750
```

***

No. 4
DFT (PBE) results for a geometry-optimized ZnInNiRu structure.

Structure (CIF):
```
data_ZnInNiRu
_chemical_formula_sum 'Zn1 In1 Ni1 Ru1'
_space_group_name_H-M_alt 'P 1'
_space_group_IT_number 1
_space_group_name_Hall 'P 1'
_cell_length_a 4.373
_cell_length_b 4.373
_cell_length_c 4.373
_cell_angle_alpha 60.00
_cell_angle_beta 60.00
_cell_angle_gamma 60.00
loop_
_atom_site_label
_atom_site_type_symbol
_atom_site_fract_x
_atom_site_fract_y
_atom_site_fract_z
Ni1 Ni 0.250 0.250 0.250
Zn1 Zn 0.000 0.000 0.000
Ru1 Ru 0.750 0.750 0.750
In1 In 0.500 0.500 0.500
```

***

no.,energy of formation from the pure elements (kJ/mol of formula units),E (eV for the cell shown)
1,209,-31.42
2,747,-14.79
3,-29,-29.39
4,-12,-19.20